# PBE Ba2YSi, relaxed
data_Ba2YSi
_cell_length_a 6.733
_cell_length_b 10.699
_cell_length_c 3.851
_cell_angle_alpha 90.00
_cell_angle_beta 90.00
_cell_angle_gamma 90.00
_symmetry_space_group_name_H-M 'C m m m'
_symmetry_Int_Tables_number 65
_symmetry_space_group_name_Hall '-C 2 2'
loop_
_atom_site_label
_atom_site_fract_x
_atom_site_fract_y
_atom_site_fract_z
Ba1 0.250 0.250 0.000
Y1 0.000 0.000 0.500
Si1 0.000 0.500 0.500
# Uncorrected energy in eV per atom: -3.72
# Magnetic moment in μB/cell: 0.00
# Uncorrected formation energy in eV per atom: 0.21